No. 1
Entry from the Open Quantum Materials Database: a relaxed Cs2AgSnI6 crystal (PBE).

Lattice parameters (Å, degrees): 8.5141 8.5141 8.5141 59.96 59.96 59.96
Positions (direct):
Cs: 0.2504 0.2504 0.2504
Cs: 0.7496 0.7496 0.7496
Ag: 0.5000 0.5000 0.5000
Sn: 0.0000 0.0000 0.0000
I: 0.2505 0.7480 0.2541
I: 0.2520 0.7459 0.7495
I: 0.2541 0.2505 0.7480
I: 0.7459 0.7495 0.2520
I: 0.7480 0.2541 0.2505
I: 0.7495 0.2520 0.7459

Summary:
Calculated density in kg/m3: 4775
Total DFT energy (no corrections) in eV/atom: -2.63
Symmetry: R-3 (148)
Offset from the most stable computed form in meV/atom: 0

---

No. 2
Entry from the Open Quantum Materials Database: a relaxed Zn2CdO4 crystal (PBE).

Lattice parameters (Å, degrees): 6.1860 6.1860 6.1860 60.00 60.00 60.00
Positions (direct):
Zn: 0.0000 0.0000 0.0000
Zn: 0.0000 0.0000 0.5000
Zn: 0.0000 0.5000 0.0000
Zn: 0.5000 0.0000 0.0000
Cd: 0.3750 0.3750 0.3750
Cd: 0.6250 0.6250 0.6250
O: 0.2015 0.7662 0.7662
O: 0.2338 0.2338 0.2338
O: 0.2338 0.2338 0.7985
O: 0.2338 0.7985 0.2338
O: 0.7662 0.2015 0.7662
O: 0.7662 0.7662 0.2015
O: 0.7662 0.7662 0.7662
O: 0.7985 0.2338 0.2338

Summary:
Calculated density in kg/m3: 6096
Total DFT energy (no corrections) in eV/atom: -4.17
Symmetry: Fd-3m (227)

---

No. 3
Entry from the Open Quantum Materials Database: a relaxed Pm2NiSn crystal (PBE).

Lattice parameters (Å, degrees): 4.9707 4.9707 4.0562 90.00 90.00 90.00
Positions (direct):
Pm: 0.0000 0.5000 0.0000
Pm: 0.5000 0.0000 0.0000
Ni: 0.0000 0.0000 0.5000
Sn: 0.5000 0.5000 0.5000

Summary:
Calculated density in kg/m3: 7744
Total DFT energy (no corrections) in eV/atom: -5.14
Symmetry: P4/mmm (123)

---

No. 4
Entry from the Open Quantum Materials Database: a relaxed LiTlFeCu crystal (PBE).

Lattice parameters (Å, degrees): 4.3877 4.3877 4.3877 60.00 60.00 60.00
Positions (direct):
Li: 0.0000 0.0000 0.0000
Tl: 0.2500 0.2500 0.2500
Fe: 0.7500 0.7500 0.7500
Cu: 0.5000 0.5000 0.5000

Summary:
Calculated density in kg/m3: 9194
Total DFT energy (no corrections) in eV/atom: -3.80
Symmetry: F-43m (216)
Offset from the most stable computed form in meV/atom: 42

---

No. 5
Entry from the Open Quantum Materials Database: a relaxed NaNdSbTe3 crystal (PBE).

Lattice parameters (Å, degrees): 8.2273 8.2273 10.9706 90.00 90.00 148.46
Positions (direct):
Na: 0.2256 0.7744 0.7500
Na: 0.7744 0.2256 0.2500
Nd: 0.0000 0.0000 0.0000
Nd: 0.0000 0.0000 0.5000
Sb: 0.4743 0.5257 0.2500
Sb: 0.5257 0.4743 0.7500
Te: 0.1250 0.8750 0.2500
Te: 0.3560 0.6440 0.0434
Te: 0.3560 0.6440 0.4566
Te: 0.6440 0.3560 0.5434
Te: 0.6440 0.3560 0.9566
Te: 0.8750 0.1250 0.7500

Summary:
Calculated density in kg/m3: 5744
Total DFT energy (no corrections) in eV/atom: -3.95
Symmetry: Cmcm (63)

---

No. 6
Entry from the Open Quantum Materials Database: a relaxed GdGeSO crystal (PBE).

Lattice parameters (Å, degrees): 6.4156 14.0101 7.5832 90.00 90.00 90.00
Positions (direct):
Gd: 0.1663 0.2188 0.1205
Gd: 0.1663 0.2812 0.6205
Gd: 0.3337 0.7188 0.1205
Gd: 0.3337 0.7812 0.6205
Gd: 0.6663 0.2188 0.3795
Gd: 0.6663 0.2812 0.8795
Gd: 0.8337 0.7188 0.3795
Gd: 0.8337 0.7812 0.8795
Ge: 0.1773 0.5182 0.4387
Ge: 0.1773 0.9818 0.9387
Ge: 0.3227 0.0182 0.4387
Ge: 0.3227 0.4818 0.9387
Ge: 0.6773 0.5182 0.0613
Ge: 0.6773 0.9818 0.5613
Ge: 0.8227 0.0182 0.0613
Ge: 0.8227 0.4818 0.5613
S: 0.0114 0.5761 0.1697
S: 0.0114 0.9239 0.6697
S: 0.4886 0.0761 0.1697
S: 0.4886 0.4239 0.6697
S: 0.5114 0.5761 0.3303
S: 0.5114 0.9239 0.8303
S: 0.9886 0.0761 0.3303
S: 0.9886 0.4239 0.8303
O: 0.1675 0.7376 0.8631
O: 0.1675 0.7624 0.3631
O: 0.3325 0.2376 0.8631
O: 0.3325 0.2624 0.3631
O: 0.6675 0.7376 0.6369
O: 0.6675 0.7624 0.1369
O: 0.8325 0.2376 0.6369
O: 0.8325 0.2624 0.1369

Summary:
Calculated density in kg/m3: 5417
Total DFT energy (no corrections) in eV/atom: -6.22
Symmetry: Pbca (61)
Offset from the most stable computed form in meV/atom: 0

---

No. 7
Entry from the Open Quantum Materials Database: a relaxed Er2LuIn3Pt2 crystal (PBE).

Lattice parameters (Å, degrees): 3.5799 7.6569 7.6569 119.88 90.00 90.00
Positions (direct):
Er: 0.0000 0.2106 0.7894
Er: 0.0000 0.7894 0.2106
Lu: 0.0000 0.6325 0.6325
In: 0.5000 0.2115 0.4418
In: 0.5000 0.4418 0.2115
In: 0.5000 0.9791 0.9791
Pt: 0.5000 0.5446 0.8757
Pt: 0.5000 0.8757 0.5446

Summary:
Calculated density in kg/m3: 11352
Total DFT energy (no corrections) in eV/atom: -5.14
Symmetry: Amm2 (38)

---

No. 8
Entry from the Open Quantum Materials Database: a relaxed ScBeZnSb crystal (PBE).

Lattice parameters (Å, degrees): 4.7044 4.7044 4.7044 60.00 60.00 60.00
Positions (direct):
Sc: 0.0000 0.0000 0.0000
Be: 0.2500 0.2500 0.2500
Zn: 0.7500 0.7500 0.7500
Sb: 0.5000 0.5000 0.5000

Summary:
Calculated density in kg/m3: 5439
Total DFT energy (no corrections) in eV/atom: -3.68
Symmetry: F-43m (216)
Offset from the most stable computed form in meV/atom: 9